A plane-wave DFT calculation with PBE was carried out for an optimized crystal structure of LaNi3Mo. Values from VASP.

Computed properties:
DFT formation energy, meV per atom: 1675
Symmetry: Pm-3m, No. 221
Theoretical density, g/cm3: 7.1
Excess energy over the best structure of this formula in the dataset, eV/f.u.: 6.36

```
&SYSTEM
  ibrav = 0, nat = 5, ntyp = 3
/
ATOMIC_SPECIES
Ni 58.69 Ni.upf
Mo 95.94 Mo.upf
La 138.91 La.upf
CELL_PARAMETERS angstrom
-4.1159 -0.1010 1.9889
-1.6182 -2.4922 -3.4753
1.1608 -3.8322 2.2076
ATOMIC_POSITIONS crystal
Ni 0.0000 0.5000 0.0000
Ni 0.0000 0.0000 0.5000
Ni 0.5000 0.0000 0.0000
Mo 0.5000 0.5000 0.5000
La 0.0000 0.0000 0.0000
```